The following is a GGA-PBE calculation of ScTlAgCl6 after structural relaxation, from Alexandria via LeMat-Bulk.

abc: 6.637 6.640 6.954
angles: 92.17 92.22 115.71
Sites, in units of the cell vectors:
Sc (0.000, 0.000, 0.000)
Tl (0.671, 0.328, 0.499)
Ag (0.343, 0.657, 0.000)
Cl (0.028, 0.291, 0.235)
Cl (0.056, 0.705, 0.787)
Cl (0.295, 0.943, 0.213)
Cl (0.299, 0.304, 0.817)
Cl (0.696, 0.701, 0.183)
Cl (0.708, 0.973, 0.766)

Calculated values
energy relative to the elements, uncorrected	-1278	meV per atom
SG	P1